Record 1
ErZrW: relaxed, PBE-GGA.

Cell lengths 3.2227, 3.2227, 13.8152 Å; angles 96.70, 96.70, 90.00 degrees
Last column: nearest neighbours and their distance in Å.
Fractional coordinates of all 6 atoms:
Zr (0.8459, 0.8459, 0.6918)  4 W 2.96, 4 Zr 3.22
Zr (0.1541, 0.1541, 0.3082)  4 W 2.96, 4 Zr 3.22
W (0.7233, 0.7233, 0.4466)  4 W 2.70, 4 Zr 2.96
W (0.2767, 0.2767, 0.5534)  4 W 2.70, 4 Zr 2.96
Er (0.5627, 0.5627, 0.1254)  5 Er 3.22-3.42, 4 Zr 3.38
Er (0.4373, 0.4373, 0.8746)  5 Er 3.22-3.42, 4 Zr 3.38

Values from the calculation:
Space-group type: No. 139
DFT formation energy: 184 meV/atom

---

Record 2
Tl3TcCl6: relaxed, PBE-GGA.

Cell lengths 7.2653, 7.8664, 12.9525 Å; angles 90.00, 55.03, 90.00 degrees
Last column: nearest neighbours and their distance in Å.
Fractional coordinates of all 20 atoms:
Cl (0.3216, 0.5373, 0.2856)  1 Tc 2.41
Cl (0.0944, 0.7398, 0.0588)  1 Tc 2.42
Cl (0.9056, 0.2398, 0.4412)  1 Tc 2.42
Cl (0.7680, 0.6591, 0.4556)  1 Tc 2.42
Cl (0.2320, 0.1591, 0.0444)  1 Tc 2.42
Cl (0.0944, 0.7602, 0.5588)  1 Tc 2.42
Cl (0.2320, 0.3409, 0.5444)  1 Tc 2.42
Cl (0.7680, 0.8409, 0.9556)  1 Tc 2.42
Cl (0.6784, 0.4627, 0.7144)  1 Tc 2.41
Cl (0.3216, 0.9627, 0.7856)  1 Tc 2.41
Cl (0.9056, 0.2602, 0.9412)  1 Tc 2.42
Cl (0.6784, 0.0373, 0.2144)  1 Tc 2.41
Tl (0.5000, 0.0000, 0.5000)  6 Cl 3.15-3.20
Tl (0.7758, 0.0739, 0.7511)  6 Cl 3.19-3.52
Tl (0.2242, 0.9261, 0.2489)  6 Cl 3.19-3.52
Tl (0.2242, 0.5739, 0.7489)  6 Cl 3.19-3.52
Tl (0.7758, 0.4261, 0.2511)  6 Cl 3.19-3.52
Tl (0.5000, 0.5000, 0.0000)  6 Cl 3.15-3.20
Tc (0.0000, 0.0000, 0.0000)  6 Cl 2.41-2.42
Tc (0.0000, 0.5000, 0.5000)  6 Cl 2.41-2.42

Values from the calculation:
Space-group type: No. 14
Energy relative to the elements, uncorrected: -0.85 eV per atom
Energy relative to the lowest polymorph listed for this composition: 0 meV/atom

---

Record 3
Tb3ErPd: relaxed, PBE-GGA.

Cell lengths 3.7056, 6.3855, 12.5964 Å; angles 86.93, 81.54, 73.13 degrees
Last column: nearest neighbours and their distance in Å.
Fractional coordinates of all 10 atoms:
Er (0.2217, 0.5624, 0.9941)  3 Pd 2.88-3.01
Er (0.1080, 0.5029, 0.2811)  2 Pd 2.84
Tb (0.9909, 0.1014, 0.9169)  3 Pd 2.91-3.03
Tb (0.1046, 0.1661, 0.6246)  2 Pd 2.89
Tb (0.4293, 0.6240, 0.5173)  10 Tb 3.53-3.91, 2 Er 3.56, 1 Pd 3.68
Tb (0.4564, 0.9336, 0.1537)  2 Pd 3.07
Tb (0.7839, 0.0436, 0.3886)  9 Tb 3.53-3.91, 3 Er 3.58-3.61, 1 Pd 3.64
Tb (0.7572, 0.7306, 0.7550)  2 Pd 3.03
Pd (0.4396, 0.3413, 0.7796)  6 Tb 2.89-3.03, 1 Er 3.01
Pd (0.7691, 0.3310, 0.1308)  4 Er 2.84-2.88, 3 Tb 3.03-3.07

Values from the calculation:
Space-group type: No. 8
DFT formation energy: -357 meV/atom
Energy relative to the lowest polymorph listed for this composition: 0 meV/atom

---

Please write out number 2 again, unchanged.
Tl3TcCl6: relaxed, PBE-GGA.

Cell lengths 7.2653, 7.8664, 12.9525 Å; angles 90.00, 55.03, 90.00 degrees
Last column: nearest neighbours and their distance in Å.
Fractional coordinates of all 20 atoms:
Cl (0.3216, 0.5373, 0.2856)  1 Tc 2.41
Cl (0.0944, 0.7398, 0.0588)  1 Tc 2.42
Cl (0.9056, 0.2398, 0.4412)  1 Tc 2.42
Cl (0.7680, 0.6591, 0.4556)  1 Tc 2.42
Cl (0.2320, 0.1591, 0.0444)  1 Tc 2.42
Cl (0.0944, 0.7602, 0.5588)  1 Tc 2.42
Cl (0.2320, 0.3409, 0.5444)  1 Tc 2.42
Cl (0.7680, 0.8409, 0.9556)  1 Tc 2.42
Cl (0.6784, 0.4627, 0.7144)  1 Tc 2.41
Cl (0.3216, 0.9627, 0.7856)  1 Tc 2.41
Cl (0.9056, 0.2602, 0.9412)  1 Tc 2.42
Cl (0.6784, 0.0373, 0.2144)  1 Tc 2.41
Tl (0.5000, 0.0000, 0.5000)  6 Cl 3.15-3.20
Tl (0.7758, 0.0739, 0.7511)  6 Cl 3.19-3.52
Tl (0.2242, 0.9261, 0.2489)  6 Cl 3.19-3.52
Tl (0.2242, 0.5739, 0.7489)  6 Cl 3.19-3.52
Tl (0.7758, 0.4261, 0.2511)  6 Cl 3.19-3.52
Tl (0.5000, 0.5000, 0.0000)  6 Cl 3.15-3.20
Tc (0.0000, 0.0000, 0.0000)  6 Cl 2.41-2.42
Tc (0.0000, 0.5000, 0.5000)  6 Cl 2.41-2.42

Values from the calculation:
Space-group type: No. 14
Energy relative to the elements, uncorrected: -0.85 eV per atom
Energy relative to the lowest polymorph listed for this composition: 0 meV/atom